Entry 1:
# Pu3Mg5O12

A relaxed structure of Pu3Mg5O12 (GGA-PBE, Alexandria).

## Properties
Raw total energy ... -163.2 eV/f.u.
Formation energy without anion corrections ... -2636 meV/atom
DOS at the Fermi energy ... 149.71 states/eV/cell

Unit cell a=12.4479 b=12.4479 c=12.4479 alpha=90.00 beta=90.00 gamma=90.00
Last column: nearest neighbours and their distance in Å.
Space group Ia-3d (No. 230)
Asymmetric unit:
1 Pu 0.0000 0.2500 0.1250 (multiplicity 24)  8 O 2.32-2.35
2 Mg 0.0000 0.0000 0.0000 (multiplicity 16)  6 O 2.10
3 Mg 0.0000 0.2500 0.3750 (multiplicity 24)  4 O 1.93
4 O 0.0213 0.0645 0.6543 (multiplicity 96)  2 Mg 1.93-2.10


Entry 2:
# Rb2PuMg2O6

A relaxed structure of Rb2PuMg2O6 (GGA-PBE, Alexandria).

## Properties
Raw total energy ... -74.7 eV/f.u.
Formation energy without anion corrections ... -2315 meV/atom
DOS at the Fermi energy ... 14.69 states/eV/cell

Unit cell a=5.5897 b=9.5943 c=6.9385 alpha=90.00 beta=107.92 gamma=90.00
Last column: nearest neighbours and their distance in Å.
Space group C2/m (No. 12)
Asymmetric unit:
1 Rb 0.0000 0.1717 0.0000 (multiplicity 4)  6 O 2.86-2.96, 2 Rb 3.17
2 Pu 0.0000 0.0000 0.5000 (multiplicity 2)  6 O 2.09
3 Mg 0.0000 0.3348 0.5000 (multiplicity 4)  6 O 2.15-2.20
4 O 0.2191 0.1628 0.6631 (multiplicity 8)  1 Pu 2.09, 2 Mg 2.16-2.20
5 O 0.2395 0.5000 0.6610 (multiplicity 4)  1 Pu 2.09, 2 Mg 2.15


Entry 3:
# RbPu2MgO8

A relaxed structure of RbPu2MgO8 (GGA-PBE, Alexandria).

## Properties
Raw total energy ... -92.0 eV/f.u.
Formation energy without anion corrections ... -1756 meV/atom
DOS at the Fermi energy ... 33.68 states/eV/cell

Unit cell a=7.6100 b=7.6100 c=7.2791 alpha=90.00 beta=90.00 gamma=90.00
Last column: nearest neighbours and their distance in Å.
Space group I-4m2 (No. 119)
Asymmetric unit:
1 Rb 0.0000 0.0000 0.0000 (multiplicity 2)  4 O 2.62
2 Pu 0.0000 0.0000 0.5000 (multiplicity 2)  4 O 1.98
3 Pu 0.0000 0.5000 0.7500 (multiplicity 2)  4 O 1.90
4 Mg 0.0000 0.5000 0.2500 (multiplicity 2)  8 O 2.29-2.49
5 O 0.0000 0.2135 0.3441 (multiplicity 8)  1 Pu 1.98
6 O 0.0000 0.3415 0.9511 (multiplicity 8)  1 Pu 1.90


Entry 4:
# PuMgRhO6

A relaxed structure of PuMgRhO6 (GGA-PBE, Alexandria).

## Properties
Raw total energy ... -70.7 eV/f.u.
Formation energy without anion corrections ... -1964 meV/atom

Unit cell a=5.1392 b=5.1392 c=9.4729 alpha=90.00 beta=90.00 gamma=120.00
Last column: nearest neighbours and their distance in Å.
Space group P-31c (No. 163)
Asymmetric unit:
1 Pu 0.3333 0.6667 0.2500 (multiplicity 2)  6 O 2.05
2 Mg 0.0000 0.0000 0.0000 (multiplicity 2)  6 O 2.13
3 Rh 0.3333 0.6667 0.7500 (multiplicity 2)  6 O 2.04
4 O 0.0022 0.3393 0.6306 (multiplicity 12)  1 Rh 2.04, 1 Pu 2.05, 1 Mg 2.13